[1]
! PBE Cs2SrRe, optimized geometry; values from VASP
! * magnetic moment: 0.1 μB per formula unit
! * calculated formation energy: 2.020 eV per atom
! * uncorrected energy: -1.940 eV per atom
&SYSTEM
  ibrav = 0, nat = 8, ntyp = 3
/
ATOMIC_SPECIES
Cs 132.91 Cs.upf
Re 186.21 Re.upf
Sr 87.62 Sr.upf
CELL_PARAMETERS angstrom
-4.552 4.552 6.315
4.552 -4.552 6.315
4.552 4.552 -6.315
ATOMIC_POSITIONS crystal
Cs 0.882 0.125 0.257
Cs 0.875 0.132 0.757
Cs 0.868 0.625 0.743
Cs 0.375 0.118 0.243
Re 0.750 0.250 0.500
Re 0.000 0.000 0.000
Sr 0.500 0.500 0.000
Sr 0.250 0.750 0.500

***

[2]
! PBE CsSrRe2, optimized geometry; values from VASP
! * magnetic moment: 7.0 μB per formula unit
! * calculated formation energy: 2.497 eV per atom
! * uncorrected energy: -4.361 eV per atom
&SYSTEM
  ibrav = 0, nat = 4, ntyp = 3
/
ATOMIC_SPECIES
Re 186.21 Re.upf
Cs 132.91 Cs.upf
Sr 87.62 Sr.upf
CELL_PARAMETERS angstrom
2.156 1.262 4.974
0.357 5.316 1.611
-3.297 1.905 4.060
ATOMIC_POSITIONS crystal
Re 0.750 0.750 0.750
Re 0.250 0.250 0.250
Cs 0.500 0.500 0.500
Sr 0.000 0.000 0.000

***

[3]
! PBE CsSr2YRe, optimized geometry; values from VASP
! * magnetic moment: 0.9 μB per formula unit
! * calculated formation energy: 1.117 eV per atom
! * uncorrected energy: -3.509 eV per atom
&SYSTEM
  ibrav = 0, nat = 5, ntyp = 4
/
ATOMIC_SPECIES
Sr 87.62 Sr.upf
Re 186.21 Re.upf
Y 88.91 Y.upf
Cs 132.91 Cs.upf
CELL_PARAMETERS angstrom
-1.193 -4.676 -4.702
3.334 -3.094 2.230
-4.930 -2.569 3.806
ATOMIC_POSITIONS crystal
Sr 0.500 0.000 0.000
Sr 0.000 0.000 0.500
Re 0.000 0.500 0.000
Y 0.000 0.000 0.000
Cs 0.500 0.500 0.500

***

[4]
! PBE CsTa3Re, optimized geometry; values from VASP
! * magnetic moment: 0.8 μB per formula unit
! * energy relative to the lowest polymorph listed for this composition: 200.5 kJ/mol of atoms
! * calculated formation energy: 3.682 eV per atom
! * uncorrected energy: -6.090 eV per atom
&SYSTEM
  ibrav = 0, nat = 5, ntyp = 3
/
ATOMIC_SPECIES
Ta 180.95 Ta.upf
Re 186.21 Re.upf
Cs 132.91 Cs.upf
CELL_PARAMETERS angstrom
4.912 0.000 0.000
0.000 4.912 0.000
0.000 0.000 4.912
ATOMIC_POSITIONS crystal
Ta 0.000 0.000 0.500
Ta 0.000 0.500 0.000
Ta 0.500 0.000 0.000
Re 0.500 0.500 0.500
Cs 0.000 0.000 0.000

***

[5]
! PBE CsTa3Re, optimized geometry; values from VASP
! * magnetic moment: 0.0 μB per formula unit
! * energy relative to the lowest polymorph listed for this composition: 0.0 kJ/mol of atoms
! * calculated formation energy: 1.604 eV per atom
! * uncorrected energy: -8.168 eV per atom
&SYSTEM
  ibrav = 0, nat = 5, ntyp = 3
/
ATOMIC_SPECIES
Ta 180.95 Ta.upf
Re 186.21 Re.upf
Cs 132.91 Cs.upf
CELL_PARAMETERS angstrom
-2.349 -4.234 -1.444
4.470 -2.281 -0.585
-0.162 -1.549 4.806
ATOMIC_POSITIONS crystal
Ta 0.000 0.000 0.500
Ta 0.500 0.000 0.000
Ta 0.000 0.500 0.000
Re 0.000 0.000 0.000
Cs 0.500 0.500 0.500

***

[6]
! PBE CsTaRe3, optimized geometry; values from VASP
! * magnetic moment: 0.0 μB per formula unit
! * calculated formation energy: 3.990 eV per atom
! * uncorrected energy: -6.020 eV per atom
&SYSTEM
  ibrav = 0, nat = 5, ntyp = 3
/
ATOMIC_SPECIES
Ta 180.95 Ta.upf
Re 186.21 Re.upf
Cs 132.91 Cs.upf
CELL_PARAMETERS angstrom
-2.834 -1.498 -3.578
1.161 -4.556 0.988
-3.701 -0.281 3.050
ATOMIC_POSITIONS crystal
Ta 0.500 0.500 0.500
Re 0.000 0.000 0.500
Re 0.500 0.000 0.000
Re 0.000 0.500 0.000
Cs 0.000 0.000 0.000

***

[7]
! PBE Cs2ReTc, optimized geometry; values from VASP
! * magnetic moment: 0.0 μB per formula unit
! * energy relative to the lowest polymorph listed for this composition: 0.0 kJ/mol of atoms
! * calculated formation energy: 1.609 eV per atom
! * uncorrected energy: -4.521 eV per atom
&SYSTEM
  ibrav = 0, nat = 8, ntyp = 3
/
ATOMIC_SPECIES
Tc 98.00 Tc.upf
Cs 132.91 Cs.upf
Re 186.21 Re.upf
CELL_PARAMETERS angstrom
6.422 -6.742 3.380
-8.873 2.937 -3.281
3.918 -0.069 -9.097
ATOMIC_POSITIONS crystal
Tc 0.500 0.500 0.000
Tc 0.750 0.250 0.500
Cs 0.625 0.441 0.316
Cs 0.691 0.375 0.816
Cs 0.125 0.309 0.684
Cs 0.559 0.875 0.184
Re 0.000 0.000 0.000
Re 0.250 0.750 0.500

***

[8]
! PBE Cs3ReTc, optimized geometry; values from VASP
! * magnetic moment: 4.2 μB per formula unit
! * energy relative to the lowest polymorph listed for this composition: 0.0 kJ/mol of atoms
! * calculated formation energy: 2.298 eV per atom
! * uncorrected energy: -2.777 eV per atom
&SYSTEM
  ibrav = 0, nat = 5, ntyp = 3
/
ATOMIC_SPECIES
Cs 132.91 Cs.upf
Tc 98.00 Tc.upf
Re 186.21 Re.upf
CELL_PARAMETERS angstrom
5.895 0.000 0.000
0.000 5.895 0.000
0.000 0.000 5.895
ATOMIC_POSITIONS crystal
Cs 0.000 0.500 0.000
Cs 0.500 0.000 0.000
Cs 0.000 0.000 0.500
Tc 0.000 0.000 0.000
Re 0.500 0.500 0.500

***

[9]
! PBE CsReTc2, optimized geometry; values from VASP
! * magnetic moment: 0.0 μB per formula unit
! * energy relative to the lowest polymorph listed for this composition: 0.0 kJ/mol of atoms
! * calculated formation energy: 1.756 eV per atom
! * uncorrected energy: -6.753 eV per atom
&SYSTEM
  ibrav = 0, nat = 8, ntyp = 3
/
ATOMIC_SPECIES
Tc 98.00 Tc.upf
Cs 132.91 Cs.upf
Re 186.21 Re.upf
CELL_PARAMETERS angstrom
7.398 0.000 0.000
0.000 7.398 0.000
3.699 3.699 3.385
ATOMIC_POSITIONS crystal
Tc 0.698 0.125 0.250
Tc 0.875 0.948 0.750
Tc 0.052 0.625 0.250
Tc 0.375 0.302 0.750
Cs 0.250 0.750 0.500
Cs 0.500 0.500 0.000
Re 0.750 0.250 0.500
Re 0.000 0.000 0.000

***

[10]
! PBE CsReTc3, optimized geometry; values from VASP
! * magnetic moment: 0.0 μB per formula unit
! * energy relative to the lowest polymorph listed for this composition: 186.6 kJ/mol of atoms
! * calculated formation energy: 3.735 eV per atom
! * uncorrected energy: -5.145 eV per atom
&SYSTEM
  ibrav = 0, nat = 5, ntyp = 3
/
ATOMIC_SPECIES
Tc 98.00 Tc.upf
Re 186.21 Re.upf
Cs 132.91 Cs.upf
CELL_PARAMETERS angstrom
4.753 0.000 0.000
0.000 4.753 0.000
0.000 0.000 4.753
ATOMIC_POSITIONS crystal
Tc 0.500 0.000 0.000
Tc 0.000 0.500 0.000
Tc 0.000 0.000 0.500
Re 0.500 0.500 0.500
Cs 0.000 0.000 0.000

***

[11]
! PBE CsReTc3, optimized geometry; values from VASP
! * magnetic moment: 4.3 μB per formula unit
! * energy relative to the lowest polymorph listed for this composition: 0.0 kJ/mol of atoms
! * calculated formation energy: 1.800 eV per atom
! * uncorrected energy: -7.080 eV per atom
&SYSTEM
  ibrav = 0, nat = 5, ntyp = 3
/
ATOMIC_SPECIES
Tc 98.00 Tc.upf
Re 186.21 Re.upf
Cs 132.91 Cs.upf
CELL_PARAMETERS angstrom
4.873 0.000 0.000
0.000 4.873 0.000
0.000 0.000 4.873
ATOMIC_POSITIONS crystal
Tc 0.500 0.000 0.000
Tc 0.000 0.500 0.000
Tc 0.000 0.000 0.500
Re 0.000 0.000 0.000
Cs 0.500 0.500 0.500

***

[12]
! PBE CsReTc2, optimized geometry; values from VASP
! * magnetic moment: 0.0 μB per formula unit
! * energy relative to the lowest polymorph listed for this composition: 8.9 kJ/mol of atoms
! * calculated formation energy: 1.848 eV per atom
! * uncorrected energy: -6.660 eV per atom
&SYSTEM
  ibrav = 0, nat = 4, ntyp = 3
/
ATOMIC_SPECIES
Tc 98.00 Tc.upf
Cs 132.91 Cs.upf
Re 186.21 Re.upf
CELL_PARAMETERS angstrom
0.000 3.299 3.299
3.299 0.000 3.299
3.299 3.299 0.000
ATOMIC_POSITIONS crystal
Tc 0.750 0.750 0.750
Tc 0.250 0.250 0.250
Cs 0.000 0.000 0.000
Re 0.500 0.500 0.500

***

- Number 11 is which compound?
  CsReTc3

***

- The highest calculated formation energy belongs to which entry?
  CsTaRe3

***

- The highest magnetic moment belongs to which entry?
  CsSrRe2